# 1
{"formula": "Tm3Pa", "functional": "PBE", "state": "relaxed", "n_ef_per_ev_cell": 8.80, "energy_ev_per_atom": -5.4166, "de_polymorph_ev_per_fu": 0.60, "formation_enthalpy_0k_ev_per_atom": 0.311, "lattice": [[0.000, 3.877, 3.877], [3.877, 0.000, 3.877], [3.877, 3.877, 0.000]], "species": ["Tm", "Tm", "Tm", "Pa"], "frac_coords": [[0.000, 0.000, 0.000], [0.250, 0.250, 0.250], [0.750, 0.750, 0.750], [0.500, 0.500, 0.500]]}

# 2
{"formula": "Tm3Pa", "functional": "PBE", "state": "relaxed", "n_ef_per_ev_cell": 7.79, "energy_ev_per_atom": -5.5499, "de_polymorph_ev_per_fu": 0.07, "formation_enthalpy_0k_ev_per_atom": 0.178, "lattice": [[3.405, 0.000, 0.000], [0.000, 5.581, 0.000], [0.000, 0.000, 6.036]], "species": ["Tm", "Tm", "Tm", "Pa"], "frac_coords": [[0.000, 0.000, 0.000], [0.000, 0.500, 0.324], [0.500, 0.500, 0.810], [0.500, 0.000, 0.486]]}

# 3
{"formula": "Tm2Pa", "functional": "PBE", "state": "relaxed", "n_ef_per_ev_cell": 4.01, "energy_ev_per_atom": -6.0754, "de_polymorph_ev_per_fu": 0.00, "formation_enthalpy_0k_ev_per_atom": 0.071, "lattice": [[2.954, -1.708, 0.000], [2.954, 1.708, 0.000], [-1.974, 0.000, 8.291]], "species": ["Tm", "Tm", "Pa"], "frac_coords": [[0.227, 0.227, 0.178], [0.773, 0.773, 0.822], [0.000, 0.000, 0.500]]}

# 4
{"formula": "Tm4Pa", "functional": "PBE", "state": "relaxed", "n_ef_per_ev_cell": 10.60, "energy_ev_per_atom": -4.5603, "formation_enthalpy_0k_ev_per_atom": 0.916, "lattice": [[5.565, 0.000, 0.000], [0.000, 5.565, 0.000], [0.000, 0.000, 5.565]], "species": ["Tm", "Tm", "Tm", "Tm", "Pa"], "frac_coords": [[0.000, 0.000, 0.000], [0.000, 0.500, 0.500], [0.500, 0.000, 0.500], [0.500, 0.500, 0.000], [0.500, 0.500, 0.500]]}

# 5
{"formula": "Tm3Pa", "functional": "PBE", "state": "relaxed", "n_ef_per_ev_cell": 7.01, "energy_ev_per_atom": -5.5663, "de_polymorph_ev_per_fu": 0.00, "formation_enthalpy_0k_ev_per_atom": 0.161, "lattice": [[-1.712, 5.571, 3.000], [1.712, -5.571, 3.000], [1.712, 5.571, -3.000]], "species": ["Tm", "Tm", "Tm", "Pa"], "frac_coords": [[0.000, 0.000, 0.000], [0.421, 0.667, 0.754], [0.913, 0.667, 0.246], [0.510, 0.010, 0.500]]}

# 6
{"formula": "TmPa2", "functional": "PBE", "state": "relaxed", "n_ef_per_ev_cell": 17.36, "energy_ev_per_atom": -7.5908, "de_polymorph_ev_per_fu": 0.00, "formation_enthalpy_0k_ev_per_atom": 0.230, "lattice": [[0.000, 4.333, 4.333], [4.333, 0.000, 4.333], [4.333, 4.333, 0.000]], "species": ["Tm", "Tm", "Pa", "Pa", "Pa", "Pa"], "frac_coords": [[0.125, 0.125, 0.125], [0.875, 0.875, 0.875], [0.000, 0.500, 0.500], [0.500, 0.000, 0.500], [0.500, 0.500, 0.000], [0.500, 0.500, 0.500]]}

# 7
{"formula": "Tm3Pa", "functional": "PBE", "state": "relaxed", "n_ef_per_ev_cell": 4.82, "energy_ev_per_atom": -5.5405, "de_polymorph_ev_per_fu": 0.10, "formation_enthalpy_0k_ev_per_atom": 0.187, "lattice": [[4.845, 0.000, 0.000], [0.000, 4.845, 0.000], [0.000, 0.000, 4.845]], "species": ["Tm", "Tm", "Tm", "Pa"], "frac_coords": [[0.000, 0.000, 0.500], [0.000, 0.500, 0.000], [0.500, 0.000, 0.000], [0.500, 0.500, 0.500]]}

# 8
{"formula": "TmPa4", "functional": "PBE", "state": "relaxed", "n_ef_per_ev_cell": 14.98, "energy_ev_per_atom": -6.9420, "formation_enthalpy_0k_ev_per_atom": 1.549, "lattice": [[5.349, 0.000, 0.000], [0.000, 5.349, 0.000], [0.000, 0.000, 5.349]], "species": ["Tm", "Pa", "Pa", "Pa", "Pa"], "frac_coords": [[0.000, 0.000, 0.000], [0.000, 0.000, 0.500], [0.000, 0.500, 0.000], [0.500, 0.000, 0.000], [0.500, 0.500, 0.500]]}

# 9
{"formula": "Tm2Pa", "functional": "PBE", "state": "relaxed", "n_ef_per_ev_cell": 5.36, "energy_ev_per_atom": -6.0122, "de_polymorph_ev_per_fu": 0.19, "formation_enthalpy_0k_ev_per_atom": 0.134, "lattice": [[-1.690, 1.690, 7.407], [1.690, -1.690, 7.407], [1.690, 1.690, -7.407]], "species": ["Tm", "Tm", "Pa"], "frac_coords": [[0.159, 0.159, 0.000], [0.841, 0.841, 0.000], [0.500, 0.500, 0.000]]}

# 10
{"formula": "TmU4Pa", "functional": "PBE", "state": "relaxed", "n_ef_per_ev_cell": 17.00, "energy_ev_per_atom": -9.6328, "formation_enthalpy_0k_ev_per_atom": 0.221, "lattice": [[0.000, 4.064, 4.064], [4.064, 0.000, 4.064], [4.064, 4.064, 0.000]], "species": ["Tm", "U", "U", "U", "U", "Pa"], "frac_coords": [[0.000, 0.000, 0.000], [0.124, 0.625, 0.625], [0.625, 0.124, 0.625], [0.625, 0.625, 0.124], [0.625, 0.625, 0.625], [0.250, 0.250, 0.250]]}

# 11
{"formula": "TmPa2V", "functional": "PBE", "state": "relaxed", "n_ef_per_ev_cell": 8.38, "energy_ev_per_atom": -7.7044, "formation_enthalpy_0k_ev_per_atom": 0.441, "lattice": [[1.556, 0.898, 11.121], [-1.556, 0.898, 11.121], [0.000, -1.797, 11.121]], "species": ["Tm", "Pa", "Pa", "V"], "frac_coords": [[0.000, 0.000, 0.000], [0.094, 0.094, 0.094], [0.906, 0.906, 0.906], [0.500, 0.500, 0.500]]}

# 12
{"formula": "Tm2PaV", "functional": "PBE", "state": "relaxed", "n_ef_per_ev_cell": 6.45, "energy_ev_per_atom": -6.2976, "formation_enthalpy_0k_ev_per_atom": 0.592, "lattice": [[1.628, 0.940, 11.110], [-1.628, 0.940, 11.110], [0.000, -1.879, 11.110]], "species": ["Tm", "Tm", "Pa", "V"], "frac_coords": [[0.084, 0.084, 0.084], [0.916, 0.916, 0.916], [0.500, 0.500, 0.500], [0.000, 0.000, 0.000]]}

# 13
{"formula": "YTm2Pa", "functional": "PBE", "state": "relaxed", "n_ef_per_ev_cell": 7.09, "energy_ev_per_atom": -6.1061, "de_polymorph_ev_per_fu": 0.06, "formation_enthalpy_0k_ev_per_atom": 0.120, "lattice": [[3.407, 0.000, 0.000], [0.000, 3.407, 0.000], [0.000, 0.000, 10.036]], "species": ["Y", "Tm", "Tm", "Pa"], "frac_coords": [[0.000, 0.000, 0.000], [0.500, 0.500, 0.267], [0.500, 0.500, 0.733], [0.000, 0.000, 0.500]]}

# 14
{"formula": "YTm2Pa", "functional": "PBE", "state": "relaxed", "n_ef_per_ev_cell": 5.77, "energy_ev_per_atom": -5.9433, "de_polymorph_ev_per_fu": 0.71, "formation_enthalpy_0k_ev_per_atom": 0.282, "lattice": [[1.657, 0.956, 12.135], [-1.657, 0.956, 12.135], [0.000, -1.913, 12.135]], "species": ["Y", "Tm", "Tm", "Pa"], "frac_coords": [[0.000, 0.000, 0.000], [0.413, 0.413, 0.413], [0.587, 0.587, 0.587], [0.500, 0.500, 0.500]]}

# 15
{"formula": "YTm2Pa", "functional": "PBE", "state": "relaxed", "n_ef_per_ev_cell": 6.70, "energy_ev_per_atom": -6.1207, "de_polymorph_ev_per_fu": 0.00, "formation_enthalpy_0k_ev_per_atom": 0.105, "lattice": [[1.705, 0.984, 11.449], [-1.705, 0.984, 11.449], [0.000, -1.968, 11.449]], "species": ["Y", "Tm", "Tm", "Pa"], "frac_coords": [[0.000, 0.000, 0.000], [0.419, 0.419, 0.419], [0.580, 0.580, 0.580], [0.166, 0.166, 0.166]]}

# 16
{"formula": "Tm2PaZn6", "functional": "PBE", "state": "relaxed", "n_ef_per_ev_cell": 9.10, "energy_ev_per_atom": -3.1618, "formation_enthalpy_0k_ev_per_atom": -0.264, "lattice": [[7.800, 0.000, 0.000], [-3.900, 6.755, 0.000], [0.000, 0.000, 3.307]], "species": ["Tm", "Tm", "Pa", "Zn", "Zn", "Zn", "Zn", "Zn", "Zn"], "frac_coords": [[0.333, 0.667, 0.000], [0.667, 0.333, 0.000], [0.000, 0.000, 0.000], [0.000, 0.336, 0.500], [0.000, 0.664, 0.500], [0.336, 0.000, 0.500], [0.336, 0.336, 0.500], [0.664, 0.000, 0.500], [0.664, 0.664, 0.500]]}

# 17
{"formula": "TmPaZn", "functional": "PBE", "state": "relaxed", "n_ef_per_ev_cell": 4.59, "energy_ev_per_atom": -5.0739, "de_polymorph_ev_per_fu": 0.36, "formation_enthalpy_0k_ev_per_atom": 0.007, "lattice": [[-1.605, 1.605, 6.787], [1.605, -1.605, 6.787], [1.605, 1.605, -6.787]], "species": ["Tm", "Pa", "Zn"], "frac_coords": [[0.000, 0.000, 0.000], [0.307, 0.307, 0.000], [0.650, 0.650, 0.000]]}

# 18
{"formula": "Tm5PaZn4", "functional": "PBE", "state": "relaxed", "n_ef_per_ev_cell": 10.46, "energy_ev_per_atom": -3.9290, "formation_enthalpy_0k_ev_per_atom": -0.234, "lattice": [[3.481, 0.000, 0.000], [0.000, 3.481, 0.000], [0.000, 0.000, 18.899]], "species": ["Tm", "Tm", "Tm", "Tm", "Tm", "Pa", "Zn", "Zn", "Zn", "Zn"], "frac_coords": [[0.000, 0.000, 0.000], [0.000, 0.000, 0.186], [0.000, 0.000, 0.378], [0.000, 0.000, 0.622], [0.000, 0.000, 0.814], [0.500, 0.500, 0.500], [0.500, 0.500, 0.093], [0.500, 0.500, 0.282], [0.500, 0.500, 0.718], [0.500, 0.500, 0.907]]}

# 19
{"formula": "TmPaZn", "functional": "PBE", "state": "relaxed", "n_ef_per_ev_cell": 5.34, "energy_ev_per_atom": -4.8739, "de_polymorph_ev_per_fu": 0.96, "formation_enthalpy_0k_ev_per_atom": 0.207, "lattice": [[5.044, 0.000, 0.000], [-2.522, 4.368, 0.000], [0.000, 0.000, 3.192]], "species": ["Tm", "Pa", "Zn"], "frac_coords": [[0.000, 0.000, 0.000], [0.667, 0.333, 0.546], [0.333, 0.667, 0.206]]}

# 20
{"formula": "TmPaZn4", "functional": "PBE", "state": "relaxed", "n_ef_per_ev_cell": 6.68, "energy_ev_per_atom": -3.3916, "de_polymorph_ev_per_fu": 0.00, "formation_enthalpy_0k_ev_per_atom": -0.214, "lattice": [[3.270, 0.000, 0.000], [0.000, 4.527, 0.000], [0.000, 0.000, 7.839]], "species": ["Tm", "Pa", "Zn", "Zn", "Zn", "Zn"], "frac_coords": [[0.000, 0.000, 0.000], [0.000, 0.500, 0.500], [0.500, 0.000, 0.330], [0.500, 0.000, 0.670], [0.500, 0.500, 0.164], [0.500, 0.500, 0.836]]}

# 21
{"formula": "TmPaZn", "functional": "PBE", "state": "relaxed", "n_ef_per_ev_cell": 8.66, "energy_ev_per_atom": -5.1951, "de_polymorph_ev_per_fu": 0.00, "formation_enthalpy_0k_ev_per_atom": -0.115, "lattice": [[1.630, -8.317, 0.000], [1.630, 8.317, 0.000], [0.000, 0.000, 5.151]], "species": ["Tm", "Tm", "Pa", "Pa", "Zn", "Zn"], "frac_coords": [[0.079, 0.921, 0.750], [0.921, 0.079, 0.250], [0.233, 0.767, 0.250], [0.767, 0.233, 0.750], [0.426, 0.574, 0.750], [0.574, 0.426, 0.250]]}

# 22
{"formula": "Tm2PaZn", "functional": "PBE", "state": "relaxed", "n_ef_per_ev_cell": 6.00, "energy_ev_per_atom": -4.7184, "de_polymorph_ev_per_fu": 1.17, "formation_enthalpy_0k_ev_per_atom": 0.210, "lattice": [[1.623, 0.937, 11.140], [-1.623, 0.937, 11.140], [0.000, -1.874, 11.140]], "species": ["Tm", "Tm", "Pa", "Zn"], "frac_coords": [[0.097, 0.097, 0.097], [0.903, 0.903, 0.903], [0.000, 0.000, 0.000], [0.500, 0.500, 0.500]]}

# 23
{"formula": "TmPaZn4", "functional": "PBE", "state": "relaxed", "n_ef_per_ev_cell": 6.31, "energy_ev_per_atom": -3.3324, "de_polymorph_ev_per_fu": 0.35, "formation_enthalpy_0k_ev_per_atom": -0.155, "lattice": [[0.000, 3.833, 3.833], [3.833, 0.000, 3.833], [3.833, 3.833, 0.000]], "species": ["Tm", "Pa", "Zn", "Zn", "Zn", "Zn"], "frac_coords": [[0.000, 0.000, 0.000], [0.750, 0.750, 0.750], [0.375, 0.375, 0.375], [0.375, 0.375, 0.876], [0.375, 0.876, 0.375], [0.876, 0.375, 0.375]]}

# 24
{"formula": "Tm2PaZn", "functional": "PBE", "state": "relaxed", "n_ef_per_ev_cell": 5.04, "energy_ev_per_atom": -5.0097, "de_polymorph_ev_per_fu": 0.00, "formation_enthalpy_0k_ev_per_atom": -0.081, "lattice": [[3.365, 0.000, 0.000], [0.000, 3.365, 0.000], [0.000, 0.000, 8.629]], "species": ["Tm", "Tm", "Pa", "Zn"], "frac_coords": [[0.000, 0.000, 0.222], [0.000, 0.000, 0.778], [0.500, 0.500, 0.500], [0.500, 0.500, 0.000]]}

# 25
{"formula": "TmZr2Pa", "functional": "PBE", "state": "relaxed", "n_ef_per_ev_cell": 7.10, "energy_ev_per_atom": -7.5982, "de_polymorph_ev_per_fu": 0.35, "formation_enthalpy_0k_ev_per_atom": 0.168, "lattice": [[4.700, 0.000, 0.000], [0.000, 4.700, 0.000], [0.000, 0.000, 4.557]], "species": ["Tm", "Zr", "Zr", "Pa"], "frac_coords": [[0.000, 0.000, 0.000], [0.000, 0.500, 0.500], [0.500, 0.000, 0.500], [0.500, 0.500, 0.000]]}

# 26
{"formula": "TmZr2Pa", "functional": "PBE", "state": "relaxed", "n_ef_per_ev_cell": 6.39, "energy_ev_per_atom": -7.6853, "de_polymorph_ev_per_fu": 0.00, "formation_enthalpy_0k_ev_per_atom": 0.081, "lattice": [[1.628, 0.940, 10.929], [-1.628, 0.940, 10.929], [0.000, -1.880, 10.929]], "species": ["Tm", "Zr", "Zr", "Pa"], "frac_coords": [[0.000, 0.000, 0.000], [0.419, 0.419, 0.419], [0.582, 0.582, 0.582], [0.167, 0.167, 0.167]]}

# 27
{"formula": "Tm2ZrPa", "functional": "PBE", "state": "relaxed", "n_ef_per_ev_cell": 7.80, "energy_ev_per_atom": -6.6233, "de_polymorph_ev_per_fu": 0.00, "formation_enthalpy_0k_ev_per_atom": 0.123, "lattice": [[1.652, 0.954, 11.149], [-1.652, 0.954, 11.149], [0.000, -1.907, 11.149]], "species": ["Tm", "Tm", "Zr", "Pa"], "frac_coords": [[0.000, 0.000, 0.000], [0.171, 0.171, 0.171], [0.586, 0.586, 0.586], [0.752, 0.752, 0.752]]}

# 28
{"formula": "TmZr2Pa", "functional": "PBE", "state": "relaxed", "n_ef_per_ev_cell": 6.45, "energy_ev_per_atom": -7.6729, "de_polymorph_ev_per_fu": 0.05, "formation_enthalpy_0k_ev_per_atom": 0.093, "lattice": [[3.820, 0.000, 0.000], [0.000, 3.820, 0.000], [0.000, 0.000, 7.028]], "species": ["Tm", "Zr", "Zr", "Pa"], "frac_coords": [[0.000, 0.000, 0.000], [0.500, 0.500, 0.288], [0.500, 0.500, 0.712], [0.000, 0.000, 0.500]]}

# 29
{"formula": "TmZr2Pa", "functional": "PBE", "state": "relaxed", "n_ef_per_ev_cell": 7.22, "energy_ev_per_atom": -7.4716, "de_polymorph_ev_per_fu": 0.85, "formation_enthalpy_0k_ev_per_atom": 0.294, "lattice": [[1.616, 0.933, 11.510], [-1.616, 0.933, 11.510], [0.000, -1.866, 11.510]], "species": ["Tm", "Zr", "Zr", "Pa"], "frac_coords": [[0.000, 0.000, 0.000], [0.090, 0.090, 0.090], [0.910, 0.910, 0.910], [0.500, 0.500, 0.500]]}

# 30
{"formula": "Tm2ZrPa", "functional": "PBE", "state": "relaxed", "n_ef_per_ev_cell": 5.78, "energy_ev_per_atom": -6.5118, "de_polymorph_ev_per_fu": 0.45, "formation_enthalpy_0k_ev_per_atom": 0.235, "lattice": [[1.625, 0.938, 11.639], [-1.625, 0.938, 11.639], [0.000, -1.876, 11.639]], "species": ["Tm", "Tm", "Zr", "Pa"], "frac_coords": [[0.091, 0.091, 0.091], [0.909, 0.909, 0.909], [0.500, 0.500, 0.500], [0.000, 0.000, 0.000]]}